# GeTe2Cl2 (PBE, relaxed)
data_GeTe2Cl2
_chemical_formula_sum 'Ge1 Te2 Cl2'
_space_group_name_H-M_alt 'P 1'
_space_group_IT_number 1
_space_group_name_Hall 'P 1'
_cell_length_a 4.010
_cell_length_b 4.010
_cell_length_c 8.977
_cell_angle_alpha 77.10
_cell_angle_beta 77.10
_cell_angle_gamma 90.00
loop_
_atom_site_label
_atom_site_fract_x
_atom_site_fract_y
_atom_site_fract_z
Ge1 0.000 0.000 0.000
Te1 0.418 0.418 0.164
Te2 0.582 0.582 0.836
Cl1 0.750 0.250 0.500
Cl2 0.250 0.750 0.500
# - V (A^3/atom) = 27.39
# - ΔE to the lowest computed polymorph (meV/atom) = 0.0
# - D(E_F) (states/eV/f.u.) = 2.52
# - raw formation energy (kJ/mol of atoms) = 16.15

---

# YS2Cl (PBE, relaxed)
data_YS2Cl
_chemical_formula_sum 'Y1 S2 Cl1'
_space_group_name_H-M_alt 'P 1'
_space_group_IT_number 1
_space_group_name_Hall 'P 1'
_cell_length_a 7.804
_cell_length_b 7.804
_cell_length_c 7.804
_cell_angle_alpha 30.67
_cell_angle_beta 30.67
_cell_angle_gamma 30.67
loop_
_atom_site_label
_atom_site_fract_x
_atom_site_fract_y
_atom_site_fract_z
Y1 0.500 0.500 0.500
S1 0.895 0.895 0.895
S2 0.105 0.105 0.105
Cl1 0.000 0.000 0.000
# - V (A^3/atom) = 27.42
# - ΔE to the lowest computed polymorph (meV/atom) = 0.0
# - D(E_F) (states/eV/f.u.) = 0.00
# - raw formation energy (kJ/mol of atoms) = -114.88

---

# CeHf2Mg (PBE, relaxed)
data_CeHf2Mg
_chemical_formula_sum 'Ce1 Hf2 Mg1'
_space_group_name_H-M_alt 'P 1'
_space_group_IT_number 1
_space_group_name_Hall 'P 1'
_cell_length_a 4.451
_cell_length_b 4.589
_cell_length_c 4.589
_cell_angle_alpha 90.00
_cell_angle_beta 90.00
_cell_angle_gamma 90.00
loop_
_atom_site_label
_atom_site_fract_x
_atom_site_fract_y
_atom_site_fract_z
Mg1 0.500 0.500 0.500
Hf1 0.000 0.000 0.500
Hf2 0.000 0.500 0.000
Ce1 0.500 0.000 0.000
# - V (A^3/atom) = 23.43
# - ΔH_f (0 K) (kJ/mol of atoms) = 16.4
# - ΔE to the lowest computed polymorph (meV/atom) = 93.3
# - D(E_F) (states/eV/f.u.) = 4.01

---

# Pa2SiO (PBE, relaxed)
data_Pa2SiO
_chemical_formula_sum 'Pa2 Si1 O1'
_space_group_name_H-M_alt 'P 1'
_space_group_IT_number 1
_space_group_name_Hall 'P 1'
_cell_length_a 3.768
_cell_length_b 3.768
_cell_length_c 6.591
_cell_angle_alpha 73.39
_cell_angle_beta 73.39
_cell_angle_gamma 60.00
loop_
_atom_site_label
_atom_site_fract_x
_atom_site_fract_y
_atom_site_fract_z
Si1 0.000 0.000 0.000
Pa1 0.762 0.762 0.715
Pa2 0.238 0.238 0.285
O1 0.500 0.500 0.500
# - V (A^3/atom) = 19.12
# - ΔE to the lowest computed polymorph (meV/atom) = 0.0
# - D(E_F) (states/eV/f.u.) = 5.15
# - raw formation energy (kJ/mol of atoms) = -132.80

---

# ZnMo2As (PBE, relaxed)
data_ZnMo2As
_chemical_formula_sum 'Zn1 Mo2 As1'
_space_group_name_H-M_alt 'P 1'
_space_group_IT_number 1
_space_group_name_Hall 'P 1'
_cell_length_a 5.333
_cell_length_b 5.015
_cell_length_c 2.845
_cell_angle_alpha 79.00
_cell_angle_beta 79.93
_cell_angle_gamma 118.83
loop_
_atom_site_label
_atom_site_fract_x
_atom_site_fract_y
_atom_site_fract_z
As1 0.500 0.500 0.000
Mo1 0.000 0.000 0.000
Mo2 0.500 0.000 0.500
Zn1 0.000 0.500 0.500
# - V (A^3/atom) = 15.55
# - ΔH_f (0 K) (kJ/mol of atoms) = 23.7
# - ΔE to the lowest computed polymorph (meV/atom) = 217.3
# - D(E_F) (states/eV/f.u.) = 2.81

---

# CdSnH3 (PBE, relaxed)
data_CdSnH3
_chemical_formula_sum 'Cd1 Sn1 H3'
_space_group_name_H-M_alt 'P 1'
_space_group_IT_number 1
_space_group_name_Hall 'P 1'
_cell_length_a 4.147
_cell_length_b 4.147
_cell_length_c 4.147
_cell_angle_alpha 90.00
_cell_angle_beta 90.00
_cell_angle_gamma 90.00
loop_
_atom_site_label
_atom_site_fract_x
_atom_site_fract_y
_atom_site_fract_z
H1 0.000 0.500 0.000
H2 0.000 0.000 0.500
H3 0.500 0.000 0.000
Sn1 0.000 0.000 0.000
Cd1 0.500 0.500 0.500
# - V (A^3/atom) = 14.26
# - ΔE to the lowest computed polymorph (meV/atom) = 0.0
# - D(E_F) (states/eV/f.u.) = 0.67

---

# Dy5ThC4 (PBE, relaxed)
data_Dy5ThC4
_chemical_formula_sum 'Dy5 Th1 C4'
_space_group_name_H-M_alt 'P 1'
_space_group_IT_number 1
_space_group_name_Hall 'P 1'
_cell_length_a 3.642
_cell_length_b 7.406
_cell_length_c 8.201
_cell_angle_alpha 102.50
_cell_angle_beta 102.83
_cell_angle_gamma 90.00
loop_
_atom_site_label
_atom_site_fract_x
_atom_site_fract_y
_atom_site_fract_z
Dy1 0.160 0.308 0.321
Dy2 0.168 0.856 0.337
Dy3 0.832 0.144 0.663
Dy4 0.500 0.500 0.000
Dy5 0.840 0.692 0.679
Th1 0.500 0.000 0.000
C1 0.670 0.087 0.339
C2 0.004 0.260 0.008
C3 0.330 0.913 0.661
C4 0.996 0.740 0.992
# - V (A^3/atom) = 21.03
# - ΔH_f (0 K) (kJ/mol of atoms) = -22.6
# - D(E_F) (states/eV/f.u.) = 5.85

---

# K2OsW (PBE, relaxed)
data_K2OsW
_chemical_formula_sum 'K2 Os1 W1'
_space_group_name_H-M_alt 'P 1'
_space_group_IT_number 1
_space_group_name_Hall 'P 1'
_cell_length_a 3.955
_cell_length_b 3.955
_cell_length_c 11.138
_cell_angle_alpha 85.99
_cell_angle_beta 85.99
_cell_angle_gamma 49.71
loop_
_atom_site_label
_atom_site_fract_x
_atom_site_fract_y
_atom_site_fract_z
K1 0.991 0.991 0.062
K2 0.765 0.765 0.673
Os1 0.517 0.517 0.432
W1 0.227 0.227 0.334
# - V (A^3/atom) = 33.13
# - ΔH_f (0 K) (kJ/mol of atoms) = 86.3
# - ΔE to the lowest computed polymorph (meV/atom) = 80.2
# - D(E_F) (states/eV/f.u.) = 2.40

---

# CuSnPd6 (PBE, relaxed)
data_CuSnPd6
_chemical_formula_sum 'Cu1 Sn1 Pd6'
_space_group_name_H-M_alt 'P 1'
_space_group_IT_number 1
_space_group_name_Hall 'P 1'
_cell_length_a 4.005
_cell_length_b 4.005
_cell_length_c 7.796
_cell_angle_alpha 90.00
_cell_angle_beta 90.00
_cell_angle_gamma 90.00
loop_
_atom_site_label
_atom_site_fract_x
_atom_site_fract_y
_atom_site_fract_z
Cu1 0.000 0.000 0.500
Sn1 0.000 0.000 0.000
Pd1 0.500 0.500 0.000
Pd2 0.500 0.500 0.500
Pd3 0.500 0.000 0.258
Pd4 0.500 0.000 0.742
Pd5 0.000 0.500 0.258
Pd6 0.000 0.500 0.742
# - V (A^3/atom) = 15.63
# - ΔH_f (0 K) (kJ/mol of atoms) = -24.3
# - ΔE to the lowest computed polymorph (meV/atom) = 0.0
# - D(E_F) (states/eV/f.u.) = 12.49

---

# AgBF2 (PBE, relaxed)
data_AgBF2
_chemical_formula_sum 'Ag2 B2 F4'
_space_group_name_H-M_alt 'P 1'
_space_group_IT_number 1
_space_group_name_Hall 'P 1'
_cell_length_a 5.482
_cell_length_b 5.482
_cell_length_c 5.482
_cell_angle_alpha 60.00
_cell_angle_beta 60.00
_cell_angle_gamma 60.00
loop_
_atom_site_label
_atom_site_fract_x
_atom_site_fract_y
_atom_site_fract_z
Ag1 0.750 0.750 0.750
Ag2 0.500 0.500 0.500
B1 0.250 0.250 0.250
B2 0.000 0.000 0.000
F1 0.125 0.625 0.125
F2 0.625 0.125 0.125
F3 0.125 0.125 0.125
F4 0.125 0.125 0.625
# - V (A^3/atom) = 14.56
# - ΔE to the lowest computed polymorph (meV/atom) = 588.6
# - D(E_F) (states/eV/f.u.) = 1.06
# - raw formation energy (kJ/mol of atoms) = -27.84

---

# NdEuSb2 (PBE, relaxed)
data_NdEuSb2
_chemical_formula_sum 'Nd1 Eu1 Sb2'
_space_group_name_H-M_alt 'P 1'
_space_group_IT_number 1
_space_group_name_Hall 'P 1'
_cell_length_a 3.434
_cell_length_b 5.871
_cell_length_c 5.871
_cell_angle_alpha 90.00
_cell_angle_beta 90.00
_cell_angle_gamma 90.00
loop_
_atom_site_label
_atom_site_fract_x
_atom_site_fract_y
_atom_site_fract_z
Eu1 0.500 0.000 0.000
Sb1 0.000 0.000 0.500
Sb2 0.000 0.500 0.000
Nd1 0.500 0.500 0.500
# - V (A^3/atom) = 29.59
# - ΔE to the lowest computed polymorph (meV/atom) = 114.1
# - D(E_F) (states/eV/f.u.) = 5.71
# - raw formation energy (kJ/mol of atoms) = -88.05

---

# NbSiTe3 (PBE, relaxed)
data_NbSiTe3
_chemical_formula_sum 'Nb1 Si1 Te3'
_space_group_name_H-M_alt 'P 1'
_space_group_IT_number 1
_space_group_name_Hall 'P 1'
_cell_length_a 5.410
_cell_length_b 5.410
_cell_length_c 5.410
_cell_angle_alpha 90.00
_cell_angle_beta 90.00
_cell_angle_gamma 90.00
loop_
_atom_site_label
_atom_site_fract_x
_atom_site_fract_y
_atom_site_fract_z
Nb1 0.000 0.000 0.000
Te1 0.000 0.500 0.000
Te2 0.000 0.000 0.500
Te3 0.500 0.000 0.000
Si1 0.500 0.500 0.500
# - V (A^3/atom) = 31.67
# - ΔE to the lowest computed polymorph (meV/atom) = 0.0
# - D(E_F) (states/eV/f.u.) = 4.51
# - raw formation energy (kJ/mol of atoms) = 58.25